[1]
A relaxed CrRh2Br crystal, computed with PBE.

Cell: 2.977 4.526 9.181 Å, 90.00 90.00 90.00°
Atoms (fractional coordinates):
Cr 0.000 0.000 0.000
Cr 0.500 0.500 0.500
Rh 0.000 0.000 0.521
Rh 0.000 0.500 0.744
Rh 0.500 0.000 0.244
Rh 0.500 0.500 0.021
Br 0.000 0.500 0.267
Br 0.500 0.000 0.767

Values from the calculation:
uncorrected formation energy = 11.90 kcal/mol of atoms
space-group type = No. 44
energy relative to the lowest polymorph listed for this composition = 240 meV/atom
spin magnetization = 0.71 μB per atom

[2]
A relaxed CrGaNiOs2 crystal, computed with PBE.

Cell: 4.448 4.448 4.257 Å, 90.00 90.00 90.00°
Atoms (fractional coordinates):
Cr 0.000 0.000 0.000
Ga 0.500 0.500 0.500
Ni 0.000 0.000 0.500
Os 0.000 0.500 0.000
Os 0.500 0.000 0.000

Values from the calculation:
space-group type = No. 123
ΔH_f (0 K) = 1.413 eV per atom
spin magnetization = 0.00 μB per atom

[3]
A relaxed Nd3Cd crystal, computed with PBE.

Cell: 4.989 4.989 4.989 Å, 90.00 90.00 90.00°
Atoms (fractional coordinates):
Nd 0.000 0.000 0.500
Nd 0.000 0.500 0.000
Nd 0.500 0.000 0.000
Cd 0.500 0.500 0.500

Values from the calculation:
space-group type = No. 221
energy relative to the lowest polymorph listed for this composition = 28 meV/atom
ΔH_f (0 K) = -0.109 eV per atom
spin magnetization = 0.00 μB per atom

[4]
A relaxed ZrTaSe4 crystal, computed with PBE.

Cell: 14.771 3.632 6.314 Å, 90.00 115.13 90.00°
Atoms (fractional coordinates):
Zr 0.000 0.000 0.000
Zr 0.500 0.500 0.000
Ta 0.000 0.500 0.500
Ta 0.500 0.000 0.500
Se 0.121 0.000 0.463
Se 0.123 0.500 0.945
Se 0.377 0.000 0.055
Se 0.379 0.500 0.537
Se 0.621 0.500 0.463
Se 0.623 0.000 0.945
Se 0.877 0.500 0.055
Se 0.879 0.000 0.537

Values from the calculation:
uncorrected formation energy = -24.10 kcal/mol of atoms
space-group type = No. 12
energy relative to the lowest polymorph listed for this composition = 0 meV/atom
spin magnetization = 0.00 μB per atom

[5]
A relaxed TiMn3Cu crystal, computed with PBE.

Cell: 4.486 4.486 4.486 Å, 90.00 90.00 90.00°
Atoms (fractional coordinates):
Ti 0.000 0.000 0.000
Mn 0.000 0.500 0.500
Mn 0.500 0.000 0.500
Mn 0.500 0.500 0.000
Cu 0.500 0.500 0.500

Values from the calculation:
space-group type = No. 221
energy relative to the lowest polymorph listed for this composition = 0 meV/atom
ΔH_f (0 K) = 0.922 eV per atom
spin magnetization = 1.88 μB per atom

[6]
A relaxed IrSI3 crystal, computed with PBE.

Cell: 5.363 5.363 5.363 Å, 90.00 90.00 90.00°
Atoms (fractional coordinates):
Ir 0.000 0.000 0.000
S 0.500 0.500 0.500
I 0.000 0.000 0.500
I 0.000 0.500 0.000
I 0.500 0.000 0.000

Values from the calculation:
uncorrected formation energy = 18.25 kcal/mol of atoms
space-group type = No. 221
energy relative to the lowest polymorph listed for this composition = 0 meV/atom
spin magnetization = 0.00 μB per atom

[7]
A relaxed TmSc6S8 crystal, computed with PBE.

Cell: 6.981 6.981 6.981 Å, 93.08 93.08 93.08°
Atoms (fractional coordinates):
Tm 0.000 0.000 0.000
Sc 0.190 0.400 0.563
Sc 0.400 0.563 0.190
Sc 0.437 0.810 0.600
Sc 0.563 0.190 0.400
Sc 0.600 0.437 0.810
Sc 0.810 0.600 0.437
S 0.139 0.721 0.367
S 0.230 0.230 0.230
S 0.279 0.633 0.861
S 0.367 0.139 0.721
S 0.633 0.861 0.279
S 0.721 0.367 0.139
S 0.770 0.770 0.770
S 0.861 0.279 0.633

Values from the calculation:
uncorrected formation energy = -36.94 kcal/mol of atoms
space-group type = No. 148
energy relative to the lowest polymorph listed for this composition = 331 meV/atom
spin magnetization = 0.00 μB per atom

[8]
A relaxed LiZr2Al crystal, computed with PBE.

Cell: 3.095 3.095 8.175 Å, 90.00 90.00 90.00°
Atoms (fractional coordinates):
Li 0.000 0.000 0.000
Zr 0.000 0.000 0.559
Zr 0.500 0.500 0.275
Al 0.500 0.500 0.809

Values from the calculation:
space-group type = No. 99
ΔH_f (0 K) = -0.096 eV per atom
spin magnetization = 0.00 μB per atom

[9]
A relaxed RePt2Se crystal, computed with PBE.

Cell: 2.911 4.663 9.380 Å, 90.00 90.00 90.00°
Atoms (fractional coordinates):
Re 0.000 0.000 0.000
Re 0.500 0.500 0.500
Pt 0.000 0.500 0.247
Pt 0.000 0.500 0.753
Pt 0.500 0.000 0.253
Pt 0.500 0.000 0.747
Se 0.000 0.000 0.500
Se 0.500 0.500 0.000

Values from the calculation:
uncorrected formation energy = 9.41 kcal/mol of atoms
space-group type = No. 71
spin magnetization = 0.00 μB per atom

[10]
A relaxed Sr3LiPb crystal, computed with PBE.

Cell: 7.690 9.538 10.675 Å, 90.00 90.53 90.00°
Atoms (fractional coordinates):
Sr 0.233 0.187 0.376
Sr 0.233 0.313 0.876
Sr 0.243 0.547 0.586
Sr 0.243 0.552 0.167
Sr 0.243 0.948 0.667
Sr 0.243 0.953 0.086
Sr 0.757 0.047 0.914
Sr 0.757 0.052 0.333
Sr 0.757 0.448 0.833
Sr 0.757 0.453 0.414
Sr 0.767 0.687 0.124
Sr 0.767 0.813 0.624
Li 0.426 0.699 0.876
Li 0.426 0.801 0.376
Li 0.574 0.199 0.624
Li 0.574 0.301 0.124
Pb 0.050 0.718 0.873
Pb 0.050 0.782 0.373
Pb 0.950 0.218 0.627
Pb 0.950 0.282 0.127

Values from the calculation:
space-group type = No. 14
energy relative to the lowest polymorph listed for this composition = 0 meV/atom
ΔH_f (0 K) = -0.281 eV per atom
spin magnetization = 0.00 μB per atom

[11]
A relaxed Er8Se6S crystal, computed with PBE.

Cell: 10.262 10.262 4.051 Å, 90.00 90.00 120.00°
Atoms (fractional coordinates):
Er 0.032 0.723 0.262
Er 0.277 0.309 0.262
Er 0.309 0.032 0.738
Er 0.333 0.667 0.745
Er 0.667 0.333 0.255
Er 0.691 0.968 0.262
Er 0.723 0.691 0.738
Er 0.968 0.277 0.738
Se 0.128 0.480 0.244
Se 0.352 0.872 0.244
Se 0.480 0.352 0.756
Se 0.520 0.648 0.244
Se 0.648 0.128 0.756
Se 0.872 0.520 0.756
S 0.000 0.000 0.500

Values from the calculation:
uncorrected formation energy = -28.99 kcal/mol of atoms
space-group type = No. 147
spin magnetization = 0.00 μB per atom

[12]
A relaxed BMoSCl2 crystal, computed with PBE.

Cell: 4.933 4.933 4.639 Å, 90.00 90.00 90.00°
Atoms (fractional coordinates):
B 0.000 0.000 0.000
Mo 0.500 0.500 0.500
S 0.500 0.500 0.000
Cl 0.000 0.500 0.500
Cl 0.500 0.000 0.500

Values from the calculation:
uncorrected formation energy = 16.91 kcal/mol of atoms
space-group type = No. 123
energy relative to the lowest polymorph listed for this composition = 0 meV/atom
spin magnetization = 0.42 μB per atom

[13]
A relaxed Tb2Zn6Cu9 crystal, computed with PBE.

Cell: 5.133 5.133 12.343 Å, 90.00 90.00 120.00°
Atoms (fractional coordinates):
Tb 0.000 0.000 0.169
Tb 0.000 0.000 0.831
Zn 0.333 0.667 0.165
Zn 0.333 0.667 0.500
Zn 0.333 0.667 0.835
Zn 0.667 0.333 0.165
Zn 0.667 0.333 0.500
Zn 0.667 0.333 0.835
Cu 0.000 0.500 0.000
Cu 0.000 0.500 0.333
Cu 0.000 0.500 0.667
Cu 0.500 0.000 0.000
Cu 0.500 0.000 0.333
Cu 0.500 0.000 0.667
Cu 0.500 0.500 0.000
Cu 0.500 0.500 0.333
Cu 0.500 0.500 0.667

Values from the calculation:
space-group type = No. 191
ΔH_f (0 K) = -0.096 eV per atom
spin magnetization = 0.00 μB per atom

[14]
A relaxed U2MnCr2C4 crystal, computed with PBE.

Cell: 6.332 6.332 5.441 Å, 94.59 94.59 27.60°
Atoms (fractional coordinates):
U 0.120 0.120 0.051
U 0.880 0.880 0.949
Mn 0.000 0.000 0.500
Cr 0.326 0.326 0.427
Cr 0.674 0.674 0.573
C 0.253 0.253 0.745
C 0.468 0.468 0.256
C 0.532 0.532 0.744
C 0.747 0.747 0.255

Values from the calculation:
space-group type = No. 12
ΔH_f (0 K) = -0.156 eV per atom
spin magnetization = 0.08 μB per atom

[15]
A relaxed Ca2ZrCuSe crystal, computed with PBE.

Cell: 5.947 5.947 4.715 Å, 90.00 90.00 90.00°
Atoms (fractional coordinates):
Ca 0.000 0.500 0.000
Ca 0.500 0.000 0.000
Zr 0.000 0.000 0.000
Cu 0.000 0.000 0.500
Se 0.500 0.500 0.500

Values from the calculation:
uncorrected formation energy = 16.02 kcal/mol of atoms
space-group type = No. 123
spin magnetization = 0.54 μB per atom

[16]
A relaxed V2CuPd crystal, computed with PBE.

Cell: 6.887 6.887 4.919 Å, 90.00 90.00 90.00°
Atoms (fractional coordinates):
V 0.242 0.250 0.125
V 0.250 0.742 0.375
V 0.250 0.758 0.875
V 0.258 0.250 0.625
V 0.742 0.750 0.625
V 0.750 0.242 0.875
V 0.750 0.258 0.375
V 0.758 0.750 0.125
Cu 0.000 0.000 0.000
Cu 0.000 0.500 0.250
Cu 0.500 0.000 0.750
Cu 0.500 0.500 0.500
Pd 0.000 0.000 0.500
Pd 0.000 0.500 0.750
Pd 0.500 0.000 0.250
Pd 0.500 0.500 0.000

Values from the calculation:
space-group type = No. 122
ΔH_f (0 K) = 0.424 eV per atom
spin magnetization = 0.00 μB per atom

[17]
A relaxed PmSm12Ho3 crystal, computed with PBE.

Cell: 5.105 5.105 20.393 Å, 90.00 90.00 90.00°
Atoms (fractional coordinates):
Pm 0.000 0.000 0.000
Sm 0.000 0.500 0.126
Sm 0.000 0.500 0.375
Sm 0.000 0.500 0.625
Sm 0.000 0.500 0.874
Sm 0.500 0.000 0.126
Sm 0.500 0.000 0.375
Sm 0.500 0.000 0.625
Sm 0.500 0.000 0.874
Sm 0.500 0.500 0.000
Sm 0.500 0.500 0.251
Sm 0.500 0.500 0.500
Sm 0.500 0.500 0.749
Ho 0.000 0.000 0.251
Ho 0.000 0.000 0.500
Ho 0.000 0.000 0.749

Values from the calculation:
space-group type = No. 123
ΔH_f (0 K) = 0.016 eV per atom
spin magnetization = 0.00 μB per atom

[18]
A relaxed CsCo2Sn2 crystal, computed with PBE.

Cell: 3.717 3.717 18.543 Å, 90.00 90.00 90.00°
Atoms (fractional coordinates):
Cs 0.000 0.000 0.000
Cs 0.500 0.500 0.500
Co 0.000 0.500 0.250
Co 0.000 0.500 0.750
Co 0.500 0.000 0.250
Co 0.500 0.000 0.750
Sn 0.000 0.000 0.345
Sn 0.000 0.000 0.655
Sn 0.500 0.500 0.155
Sn 0.500 0.500 0.845

Values from the calculation:
space-group type = No. 139
ΔH_f (0 K) = 0.118 eV per atom
spin magnetization = 0.20 μB per atom

[19]
A relaxed PmTlH8Rh2 crystal, computed with PBE.

Cell: 9.049 9.049 9.049 Å, 26.55 26.55 26.55°
Atoms (fractional coordinates):
Pm 0.000 0.000 0.000
Tl 0.500 0.500 0.500
H 0.085 0.528 0.528
H 0.186 0.186 0.186
H 0.472 0.472 0.915
H 0.472 0.915 0.472
H 0.528 0.085 0.528
H 0.528 0.528 0.085
H 0.814 0.814 0.814
H 0.915 0.472 0.472
Rh 0.252 0.252 0.252
Rh 0.748 0.748 0.748

Values from the calculation:
space-group type = No. 166
spin magnetization = 0.00 μB per atom

[20]
A relaxed Nd3Ga5Ir6 crystal, computed with PBE.

Cell: 4.252 12.759 9.819 Å, 90.00 90.00 90.00°
Atoms (fractional coordinates):
Nd 0.250 0.078 0.248
Nd 0.250 0.422 0.248
Nd 0.250 0.750 0.248
Nd 0.750 0.250 0.752
Nd 0.750 0.578 0.752
Nd 0.750 0.922 0.752
Ga 0.250 0.081 0.857
Ga 0.250 0.419 0.857
Ga 0.250 0.627 0.523
Ga 0.250 0.750 0.874
Ga 0.250 0.873 0.523
Ga 0.750 0.127 0.477
Ga 0.750 0.250 0.126
Ga 0.750 0.373 0.477
Ga 0.750 0.581 0.143
Ga 0.750 0.919 0.143
Ir 0.250 0.060 0.603
Ir 0.250 0.250 0.481
Ir 0.250 0.250 0.991
Ir 0.250 0.440 0.603
Ir 0.250 0.582 0.005
Ir 0.250 0.918 0.005
Ir 0.750 0.082 0.995
Ir 0.750 0.418 0.995
Ir 0.750 0.560 0.397
Ir 0.750 0.750 0.009
Ir 0.750 0.750 0.519
Ir 0.750 0.940 0.397

Values from the calculation:
space-group type = No. 59
ΔH_f (0 K) = -0.650 eV per atom
spin magnetization = 0.00 μB per atom

[21]
A relaxed MgTiCuHg crystal, computed with PBE.

Cell: 6.516 6.516 6.516 Å, 90.00 90.00 90.00°
Atoms (fractional coordinates):
Mg 0.000 0.000 0.000
Mg 0.000 0.500 0.500
Mg 0.500 0.000 0.500
Mg 0.500 0.500 0.000
Ti 0.000 0.000 0.500
Ti 0.000 0.500 0.000
Ti 0.500 0.000 0.000
Ti 0.500 0.500 0.500
Cu 0.250 0.250 0.250
Cu 0.250 0.750 0.750
Cu 0.750 0.250 0.750
Cu 0.750 0.750 0.250
Hg 0.250 0.250 0.750
Hg 0.250 0.750 0.250
Hg 0.750 0.250 0.250
Hg 0.750 0.750 0.750

Values from the calculation:
space-group type = No. 216
ΔH_f (0 K) = -0.047 eV per atom
spin magnetization = 0.00 μB per atom

[22]
A relaxed La2Pr3Se8 crystal, computed with PBE.

Cell: 8.610 8.610 7.284 Å, 107.23 107.23 60.60°
Atoms (fractional coordinates):
La 0.236 0.236 0.154
La 0.764 0.764 0.846
Pr 0.237 0.763 0.500
Pr 0.500 0.500 0.000
Pr 0.763 0.237 0.500
Se 0.125 0.125 0.425
Se 0.143 0.608 0.085
Se 0.382 0.382 0.569
Se 0.392 0.857 0.915
Se 0.608 0.143 0.085
Se 0.618 0.618 0.431
Se 0.857 0.392 0.915
Se 0.875 0.875 0.575

Values from the calculation:
uncorrected formation energy = -40.35 kcal/mol of atoms
space-group type = No. 12
spin magnetization = 0.00 μB per atom

Uncorrected energy for every record listed, in sequence, given in eV/cell: -47.87, -33.83, -15.65, -81.22, -34.89, -13.68, -99.51, -23.14, -52.77, -48.29, -80.39, -21.66, -55.40, -89.30, -16.66, -103.32, -74.85, -44.96, -48.41, -183.40, -56.30, -74.82.